DFT (PBE-GGA) results for a relaxed Dy3GaSi2 crystal.

Cell: 11.4822 4.1232 11.4892 Å, 90.00 90.00 90.00°
Closest atoms and distances in Å follow each position.
Fractional coordinates of all 24 atoms:
Dy  0.0555  0.2500  0.1198  5 Si 2.92-3.10, 1 Ga 2.98
Dy  0.1251  0.7500  0.5622  5 Si 3.00-3.09, 3 Ga 3.05-3.09
Dy  0.2005  0.2500  0.8019  3 Si 2.86-3.06, 2 Ga 2.90
Dy  0.2995  0.7500  0.3019  3 Si 2.86-3.06, 2 Ga 2.90
Dy  0.3749  0.2500  0.0622  5 Si 3.00-3.09, 3 Ga 3.05-3.09
Dy  0.4445  0.7500  0.6198  5 Si 2.92-3.10, 1 Ga 2.98
Dy  0.5555  0.2500  0.3802  5 Si 2.92-3.10, 1 Ga 2.98
Dy  0.6251  0.7500  0.9378  5 Si 3.00-3.09, 3 Ga 3.05-3.09
Dy  0.7005  0.2500  0.6981  3 Si 2.86-3.06, 2 Ga 2.90
Dy  0.7995  0.7500  0.1981  3 Si 2.86-3.06, 2 Ga 2.90
Dy  0.8749  0.2500  0.4378  5 Si 3.00-3.09, 3 Ga 3.05-3.09
Dy  0.9445  0.7500  0.8802  5 Si 2.92-3.10, 1 Ga 2.98
Ga  0.1346  0.2500  0.3664  3 Si 2.52-2.54
Ga  0.3654  0.7500  0.8664  3 Si 2.52-2.54
Ga  0.6346  0.2500  0.1336  3 Si 2.52-2.54
Ga  0.8654  0.7500  0.6336  3 Si 2.52-2.54
Si  0.0195  0.7500  0.3150  2 Ga 2.52
Si  0.1876  0.7500  0.9982  1 Ga 2.54
Si  0.3124  0.2500  0.4982  1 Ga 2.54
Si  0.4805  0.2500  0.8150  2 Ga 2.52
Si  0.5195  0.7500  0.1850  2 Ga 2.52
Si  0.6876  0.7500  0.5018  1 Ga 2.54
Si  0.8124  0.2500  0.0018  1 Ga 2.54
Si  0.9805  0.2500  0.6850  2 Ga 2.52

Properties
Formation energy from raw total energies in eV/atom: -0.6851
DOS at the Fermi energy in states/eV/cell: 13.5

---

DFT (PBE-GGA) results for a relaxed LaNdCuRh crystal.

Cell: 5.0866 5.0866 5.0866 Å, 60.00 60.00 60.00°
Closest atoms and distances in Å follow each position.
Fractional coordinates of all 4 atoms:
La  0.0000  0.0000  0.0000  4 Rh 3.11, 4 Cu 3.11
Nd  0.5000  0.5000  0.5000  4 Cu 3.11, 4 Rh 3.11
Cu  0.7500  0.7500  0.7500  4 La 3.11, 4 Nd 3.11
Rh  0.2500  0.2500  0.2500  4 Nd 3.11, 4 La 3.11

Properties
Energy relative to the elements in eV/atom: -0.411
Energy above the lowest structure with this stoichiometry in meV per atom: 67
DOS at the Fermi energy in states/eV/cell: 4.1

---

DFT (PBE-GGA) results for a relaxed Mg2CoMo crystal.

Cell: 2.6717 4.4891 5.3747 Å, 90.00 102.69 90.00°
Closest atoms and distances in Å follow each position.
Fractional coordinates of all 4 atoms:
Mg  0.1895  0.0000  0.2575  4 Mg 2.67-2.77, 2 Co 2.70, 2 Mo 2.85
Mg  0.8105  0.0000  0.7425  4 Mg 2.67-2.77, 2 Co 2.70, 2 Mo 2.85
Co  0.0000  0.5000  0.5000  2 Co 2.67, 4 Mg 2.70, 2 Mo 2.73
Mo  0.5000  0.5000  0.0000  2 Mo 2.67, 2 Co 2.73, 4 Mg 2.85

Properties
Energy relative to the elements in eV/atom: 0.363
Energy above the lowest structure with this stoichiometry in meV per atom: 252
DOS at the Fermi energy in states/eV/cell: 3.5

---

| no. | uncorrected energy (eV/atom) |
| --- | --- |
| 1 | -5.30 |
| 2 | -5.70 |
| 3 | -4.92 |